# 1
Density functional theory data (PBE-GGA) for Tl3Sn4 after structural relaxation.

```
7
Lattice="-0.3943 -3.4027 -1.5208 2.5928 -1.3490 2.3461 -11.6773 -0.8056 9.4485" Properties=species:S:1:pos:R:3 pbc="T T T"
Tl 0.0000 0.0000 0.0000
Tl -3.3127 -3.7028 4.5256
Sn -8.9389 -2.6884 8.3331
Sn -6.6055 -4.6931 7.5953
Tl -6.1661 -1.8545 5.7482
Sn -0.5399 -2.8689 1.9408
Sn -2.8732 -0.8642 2.6785
```

Computed properties:
The space group is I4/mmm (139). The value obtained for the calculated formation energy is 30 meV/atom. The density of states at the Fermi level is 0.408 states/eV per atom.

=====

# 2
Density functional theory data (PBE-GGA) for NdDy2HoTe6 after structural relaxation.

```
10
Lattice="7.7556 -0.0002 0.0002 3.8776 6.7167 -0.0002 3.8774 2.2389 7.0549" Properties=species:S:1:pos:R:3 pbc="T T T"
Nd 11.6332 6.7165 3.8091
Te 10.3918 4.5982 1.7415
Te 6.3328 6.7011 1.7417
Dy 3.8774 2.2388 6.8875
Ho 3.8778 2.2389 0.2257
Te 8.8707 6.5870 5.3050
Te 9.0243 2.4573 5.3050
Dy 7.7552 4.4777 3.3196
Te 5.3708 4.3887 5.3047
Te 6.5415 2.1338 1.7418
```

Computed properties:
The space group is R3 (146).

=====

# 3
Density functional theory data (PBE-GGA) for NdHo2Au6 after structural relaxation.

```
18
Lattice="5.2682 0.2094 0.6211 0.8154 8.5476 2.2963 0.3921 -0.3119 8.8740" Properties=species:S:1:pos:R:3 pbc="T T T"
Au 5.7600 3.7243 7.6029
Ho 3.5414 3.9607 3.2728
Ho 2.9344 4.4845 8.5186
Nd 4.7135 7.5923 3.5880
Au 1.0998 3.0353 1.8126
Ho 5.6731 6.7778 7.2043
Au 4.5955 0.0859 7.2426
Ho 0.8027 1.6674 4.5871
Au 3.2271 5.7377 5.7197
Au 2.8490 7.5479 8.0032
Au 5.3760 5.4099 9.9789
Au 3.2487 2.7074 6.0718
Au 4.2025 1.9346 9.7072
Au 1.8803 8.3592 4.5489
Au 2.2733 6.5106 2.0843
Au 0.7158 4.7209 4.1885
Au 3.6268 0.8973 3.7883
Nd 1.7623 0.8528 8.2034
```

Computed properties:
The space group is C2/c (15). The value obtained for the calculated formation energy is -729 meV/atom. The density of states at the Fermi level is 0.602 states/eV per atom.

=====

# 4
Density functional theory data (PBE-GGA) for NbFeRh14 after structural relaxation.

```
16
Lattice="-3.1201 2.0529 -3.9607 -4.3247 -2.5772 2.0717 -1.5510 6.1454 4.4071" Properties=species:S:1:pos:R:3 pbc="T T T"
Rh -3.4799 0.1948 1.8949
Rh -5.7296 1.5875 2.5310
Fe -3.5672 2.8761 1.4952
Rh -4.9541 -1.4852 0.3275
Rh -2.8816 2.4944 -1.1012
Rh -1.3329 1.4753 0.8662
Rh -4.3518 0.8299 -2.6887
Rh -5.1273 3.9025 -0.4852
Rh -2.7917 -0.1966 -0.7084
Rh -5.0288 1.2149 -0.0717
Rh -4.2530 3.2578 4.0915
Rh -3.6547 5.5574 1.0954
Rh -2.1057 4.5371 3.0619
Nb -7.2896 2.6140 0.5507
Rh -6.5142 -0.4587 -1.6529
Rh -5.8016 4.2770 2.1242
```

Computed properties:
The space group is P4/mmm (123). The value obtained for the calculated formation energy is -109 meV/atom. The density of states at the Fermi level is 1.318 states/eV per atom.

=====

Number 1: calculated total energy -22.90 eV per cell. Number 2: calculated total energy -51.03 eV per cell. Number 3: calculated total energy -80.30 eV per cell. Number 4: calculated total energy -123.20 eV per cell.